[1]
The following is a PBE calculation of a relaxed Nd2SmPb7 crystal, from OQMD.

```
data_Nd2SmPb7
_chemical_formula_sum 'Nd2 Sm1 Pb7'
_cell_length_a 13.9503
_cell_length_b 13.9503
_cell_length_c 4.6675
_cell_angle_alpha 90.00
_cell_angle_beta 90.00
_cell_angle_gamma 161.01
_symmetry_space_group_name_H-M 'P 1'
_symmetry_Int_Tables_number 1
_symmetry_space_group_name_Hall 'P 1'
loop_
_atom_site_label
_atom_site_type_symbol
_atom_site_fract_x
_atom_site_fract_y
_atom_site_fract_z
Nd1 Nd 0.3104 0.6896 0.5000
Nd2 Nd 0.6896 0.3104 0.5000
Pb1 Pb 0.0956 0.9044 0.5000
Pb2 Pb 0.4040 0.5960 0.0000
Pb3 Pb 0.5000 0.5000 0.5000
Pb4 Pb 0.7899 0.2101 0.0000
Pb5 Pb 0.5960 0.4040 0.0000
Pb6 Pb 0.9044 0.0956 0.5000
Pb7 Pb 0.2101 0.7899 0.0000
Sm1 Sm 0.0000 0.0000 0.0000
```

Results
Crystal system: orthorhombic
VASP energy in eV/f.u.: -44.3

[2]
The following is a PBE calculation of a relaxed Tm2MgOs crystal, from OQMD.

```
data_Tm2MgOs
_chemical_formula_sum 'Tm2 Mg1 Os1'
_cell_length_a 3.3921
_cell_length_b 3.3921
_cell_length_c 8.0397
_cell_angle_alpha 90.00
_cell_angle_beta 90.00
_cell_angle_gamma 90.00
_symmetry_space_group_name_H-M 'P 1'
_symmetry_Int_Tables_number 1
_symmetry_space_group_name_Hall 'P 1'
loop_
_atom_site_label
_atom_site_type_symbol
_atom_site_fract_x
_atom_site_fract_y
_atom_site_fract_z
Tm1 Tm 0.5000 0.5000 0.7988
Tm2 Tm 0.5000 0.5000 0.2012
Mg1 Mg 0.0000 0.0000 0.5000
Os1 Os 0.0000 0.0000 0.0000
```

Results
Crystal system: tetragonal
VASP energy in eV/f.u.: -22.8

[3]
The following is a PBE calculation of a relaxed Pm6TmSe8 crystal, from OQMD.

```
data_Pm6TmSe8
_chemical_formula_sum 'Pm6 Tm1 Se8'
_cell_length_a 8.3328
_cell_length_b 8.3328
_cell_length_c 8.3328
_cell_angle_alpha 60.00
_cell_angle_beta 60.00
_cell_angle_gamma 60.00
_symmetry_space_group_name_H-M 'P 1'
_symmetry_Int_Tables_number 1
_symmetry_space_group_name_Hall 'P 1'
loop_
_atom_site_label
_atom_site_type_symbol
_atom_site_fract_x
_atom_site_fract_y
_atom_site_fract_z
Se1 Se 0.7553 0.7553 0.2447
Se2 Se 0.2447 0.7553 0.2447
Se3 Se 0.7553 0.2447 0.7553
Se4 Se 0.2447 0.7553 0.7553
Se5 Se 0.7553 0.2447 0.2447
Se6 Se 0.2447 0.2447 0.7553
Se7 Se 0.7500 0.7500 0.7500
Se8 Se 0.2500 0.2500 0.2500
Pm1 Pm 0.5000 0.5000 0.0000
Pm2 Pm 0.0000 0.5000 0.5000
Pm3 Pm 0.5000 0.0000 0.5000
Pm4 Pm 0.5000 0.0000 0.0000
Pm5 Pm 0.0000 0.0000 0.5000
Pm6 Pm 0.0000 0.5000 0.0000
Tm1 Tm 0.0000 0.0000 0.0000
```

Results
Crystal system: cubic
VASP energy in eV/f.u.: -89.0

[4]
The following is a PBE calculation of a relaxed CsPt2O4 crystal, from OQMD.

```
data_CsPt2O4
_chemical_formula_sum 'Cs2 Pt4 O8'
_cell_length_a 6.7590
_cell_length_b 6.7590
_cell_length_c 6.7590
_cell_angle_alpha 120.00
_cell_angle_beta 90.01
_cell_angle_gamma 120.00
_symmetry_space_group_name_H-M 'P 1'
_symmetry_Int_Tables_number 1
_symmetry_space_group_name_Hall 'P 1'
loop_
_atom_site_label
_atom_site_type_symbol
_atom_site_fract_x
_atom_site_fract_y
_atom_site_fract_z
O1 O 0.5924 0.8152 0.4076
O2 O 0.2228 0.8152 0.4076
O3 O 0.5924 0.1848 0.7772
O4 O 0.1576 0.3152 0.8424
O5 O 0.1576 0.6848 0.8424
O6 O 0.5272 0.6848 0.8424
O7 O 0.5924 0.1848 0.4076
O8 O 0.1576 0.3152 0.4728
Pt1 Pt 0.3750 0.7500 0.6250
Pt2 Pt 0.8750 0.2500 0.6250
Pt3 Pt 0.3750 0.7500 0.1250
Pt4 Pt 0.3750 0.2500 0.6250
Cs1 Cs 0.0000 0.0000 0.0000
Cs2 Cs 0.7500 0.5000 0.2500
```

Results
Crystal system: cubic
VASP energy in eV/f.u.: -36.4

[5]
The following is a PBE calculation of a relaxed NaBSbIr crystal, from OQMD.

```
data_NaBSbIr
_chemical_formula_sum 'Na1 B1 Sb1 Ir1'
_cell_length_a 4.4390
_cell_length_b 4.4390
_cell_length_c 4.4390
_cell_angle_alpha 60.00
_cell_angle_beta 60.00
_cell_angle_gamma 60.00
_symmetry_space_group_name_H-M 'P 1'
_symmetry_Int_Tables_number 1
_symmetry_space_group_name_Hall 'P 1'
loop_
_atom_site_label
_atom_site_type_symbol
_atom_site_fract_x
_atom_site_fract_y
_atom_site_fract_z
Ir1 Ir 0.2500 0.2500 0.2500
B1 B 0.0000 0.0000 0.0000
Sb1 Sb 0.5000 0.5000 0.5000
Na1 Na 0.7500 0.7500 0.7500
```

Results
Crystal system: cubic
VASP energy in eV/f.u.: -18.5
E above lowest polymorph in meV/atom: 0.0

[6]
The following is a PBE calculation of a relaxed Li4Cd2InPt crystal, from OQMD.

```
data_Li4Cd2InPt
_chemical_formula_sum 'Li4 Cd2 In1 Pt1'
_cell_length_a 4.5731
_cell_length_b 4.5731
_cell_length_c 6.5866
_cell_angle_alpha 90.00
_cell_angle_beta 90.00
_cell_angle_gamma 90.00
_symmetry_space_group_name_H-M 'P 1'
_symmetry_Int_Tables_number 1
_symmetry_space_group_name_Hall 'P 1'
loop_
_atom_site_label
_atom_site_type_symbol
_atom_site_fract_x
_atom_site_fract_y
_atom_site_fract_z
Li1 Li 0.5000 0.5000 0.0000
Li2 Li 0.0000 0.0000 0.5000
Li3 Li 0.0000 0.5000 0.2786
Li4 Li 0.5000 0.0000 0.7214
In1 In 0.0000 0.0000 0.0000
Cd1 Cd 0.5000 0.0000 0.2654
Cd2 Cd 0.0000 0.5000 0.7346
Pt1 Pt 0.5000 0.5000 0.5000
```

Results
Crystal system: tetragonal
VASP energy in eV/f.u.: -21.0

[7]
The following is a PBE calculation of a relaxed LiFeBiIr crystal, from OQMD.

```
data_LiFeBiIr
_chemical_formula_sum 'Li1 Fe1 Bi1 Ir1'
_cell_length_a 4.4623
_cell_length_b 4.4623
_cell_length_c 4.4623
_cell_angle_alpha 60.00
_cell_angle_beta 60.00
_cell_angle_gamma 60.00
_symmetry_space_group_name_H-M 'P 1'
_symmetry_Int_Tables_number 1
_symmetry_space_group_name_Hall 'P 1'
loop_
_atom_site_label
_atom_site_type_symbol
_atom_site_fract_x
_atom_site_fract_y
_atom_site_fract_z
Li1 Li 0.2500 0.2500 0.2500
Ir1 Ir 0.5000 0.5000 0.5000
Bi1 Bi 0.0000 0.0000 0.0000
Fe1 Fe 0.7500 0.7500 0.7500
```

Results
Crystal system: cubic
VASP energy in eV/f.u.: -22.5
E above lowest polymorph in meV/atom: 0.0

[8]
The following is a PBE calculation of a relaxed Er2PbS4 crystal, from OQMD.

```
data_Er2PbS4
_chemical_formula_sum 'Er8 Pb4 S16'
_cell_length_a 11.3695
_cell_length_b 4.0240
_cell_length_c 14.5296
_cell_angle_alpha 90.00
_cell_angle_beta 90.00
_cell_angle_gamma 90.00
_symmetry_space_group_name_H-M 'P 1'
_symmetry_Int_Tables_number 1
_symmetry_space_group_name_Hall 'P 1'
loop_
_atom_site_label
_atom_site_type_symbol
_atom_site_fract_x
_atom_site_fract_y
_atom_site_fract_z
S1 S 0.3544 0.7500 0.5037
S2 S 0.0016 0.7500 0.2226
S3 S 0.2697 0.7500 0.8182
S4 S 0.1456 0.2500 0.0037
S5 S 0.2303 0.2500 0.3182
S6 S 0.0594 0.7500 0.5810
S7 S 0.7697 0.7500 0.6818
S8 S 0.4406 0.2500 0.0810
S9 S 0.9984 0.2500 0.7774
S10 S 0.9406 0.2500 0.4190
S11 S 0.4984 0.2500 0.7226
S12 S 0.8544 0.7500 0.9963
S13 S 0.5016 0.7500 0.2774
S14 S 0.7303 0.2500 0.1818
S15 S 0.6456 0.2500 0.4963
S16 S 0.5594 0.7500 0.9190
Er1 Er 0.0549 0.7500 0.8941
Er2 Er 0.9451 0.2500 0.1059
Er3 Er 0.5549 0.7500 0.6059
Er4 Er 0.4451 0.2500 0.3941
Er5 Er 0.8909 0.2500 0.6003
Er6 Er 0.6091 0.7500 0.1003
Er7 Er 0.1091 0.7500 0.3997
Er8 Er 0.3909 0.2500 0.8997
Pb1 Pb 0.2129 0.2500 0.6712
Pb2 Pb 0.7129 0.2500 0.8288
Pb3 Pb 0.7871 0.7500 0.3288
Pb4 Pb 0.2871 0.7500 0.1712
```

Results
Crystal system: orthorhombic
VASP energy in eV/f.u.: -40.7
E above lowest polymorph in meV/atom: 16.8

[9]
The following is a PBE calculation of a relaxed Li4Th2Al crystal, from OQMD.

```
data_Li4Th2Al
_chemical_formula_sum 'Li4 Th2 Al1'
_cell_length_a 8.2341
_cell_length_b 8.2341
_cell_length_c 8.2341
_cell_angle_alpha 147.12
_cell_angle_beta 147.12
_cell_angle_gamma 47.19
_symmetry_space_group_name_H-M 'P 1'
_symmetry_Int_Tables_number 1
_symmetry_space_group_name_Hall 'P 1'
loop_
_atom_site_label
_atom_site_type_symbol
_atom_site_fract_x
_atom_site_fract_y
_atom_site_fract_z
Li1 Li 0.0000 0.5000 0.5000
Li2 Li 0.8263 0.8263 0.0000
Li3 Li 0.1737 0.1737 0.0000
Li4 Li 0.5000 0.0000 0.5000
Th1 Th 0.3779 0.3779 0.0000
Th2 Th 0.6221 0.6221 0.0000
Al1 Al 0.0000 0.0000 0.0000
```

Results
Crystal system: tetragonal
VASP energy in eV/f.u.: -22.8

[10]
The following is a PBE calculation of a relaxed BaH3Pd crystal, from OQMD.

```
data_BaH3Pd
_chemical_formula_sum 'Ba2 H6 Pd2'
_cell_length_a 5.6237
_cell_length_b 5.6237
_cell_length_c 5.6237
_cell_angle_alpha 117.64
_cell_angle_beta 117.64
_cell_angle_gamma 94.15
_symmetry_space_group_name_H-M 'P 1'
_symmetry_Int_Tables_number 1
_symmetry_space_group_name_Hall 'P 1'
loop_
_atom_site_label
_atom_site_type_symbol
_atom_site_fract_x
_atom_site_fract_y
_atom_site_fract_z
H1 H 0.2500 0.7500 0.5000
H2 H 0.2130 0.2870 0.5000
H3 H 0.7130 0.2130 0.9259
H4 H 0.2870 0.7870 0.0741
H5 H 0.7870 0.7130 0.5000
H6 H 0.7500 0.2500 0.5000
Ba1 Ba 0.2500 0.2500 0.0000
Ba2 Ba 0.7500 0.7500 0.0000
Pd1 Pd 0.5000 0.0000 0.5000
Pd2 Pd 0.0000 0.5000 0.5000
```

Results
Crystal system: tetragonal
VASP energy in eV/f.u.: -19.6